Compound: GeSbRh3
Source: the Alexandria database
Functional: PBE-GGA
Structure: optimized geometry

a b c (Å): 4.836 4.836 4.836
angles (deg): 90.00 90.00 90.00
Fractional coordinates of all 5 atoms:
1 Sb 0.000 0.000 0.000
2 Ge 0.500 0.500 0.500
3 Rh 0.000 0.500 0.000
4 Rh 0.000 0.000 0.500
5 Rh 0.500 0.000 0.000

Calculated values
The value obtained for the density is 7387 kg/m³. The density of states at the Fermi level is 0.88 states/eV/atom. The uncorrected formation energy comes out at 4.55 eV/f.u. The uncorrected energy comes out at -5.248 eV/atom. As for the symmetry: Pm-3m, No. 221. As for the total magnetic moment: 0.0 μB/cell.